Record 1
Material: Nb2Zn4O9
Method: DFT, SCAN
State: PBEsol geometry

Results
Space-group type   P-3c1 (165)
Formation energy from raw total energies   -2123 meV/atom
Uncorrected energy   -13.883 eV/atom

Lattice parameters (Å, degrees): 5.186 5.186 14.160 90.00 90.00 120.00
Atoms (fractional coordinates):
1 Zn 0.333 0.667 0.015
2 Zn 0.333 0.667 0.515
3 Zn 0.667 0.333 0.702
4 O 0.323 0.344 0.917
5 Zn 0.333 0.667 0.798
6 O 0.677 0.022 0.583
7 O 0.287 0.287 0.250
8 O 0.344 0.022 0.083
9 O 0.323 0.978 0.417
10 O 0.656 0.978 0.917
11 Nb 0.000 0.000 0.139
12 O 0.287 0.000 0.750
13 O 0.022 0.344 0.417
14 O 0.713 0.000 0.250
15 O 0.978 0.656 0.583
16 O 0.344 0.323 0.583
17 O 0.000 0.287 0.750
18 Zn 0.667 0.333 0.485
19 Nb 0.000 0.000 0.361
20 Zn 0.667 0.333 0.985
21 Nb 0.000 0.000 0.639
22 O 0.677 0.656 0.083
23 Nb 0.000 0.000 0.861
24 O 0.022 0.677 0.917
25 Zn 0.667 0.333 0.202
26 O 0.000 0.713 0.250
27 O 0.978 0.323 0.083
28 O 0.656 0.677 0.417
29 Zn 0.333 0.667 0.298
30 O 0.713 0.713 0.750

***

Record 2
Material: Zn4PtCl
Method: DFT, SCAN
State: PBEsol geometry

Results
Space-group type   F-43m (216)
Formation energy from raw total energies   109 meV/atom
Uncorrected energy   -21.930 eV/atom

Lattice parameters (Å, degrees): 5.057 5.057 5.057 60.00 60.00 60.00
Atoms (fractional coordinates):
1 Zn 0.123 0.626 0.626
2 Pt 0.000 0.000 0.000
3 Cl 0.250 0.250 0.250
4 Zn 0.626 0.626 0.123
5 Zn 0.626 0.626 0.626
6 Zn 0.626 0.123 0.626

***

Record 3
Material: MgBe2Pt2
Method: DFT, SCAN
State: PBEsol geometry

Results
Relative energy among the computed polymorphs   0.00 kJ/mol of atoms
Calculated formation energy   -0.9626 eV per atom
Space-group type   P4/mbm (127)
Uncorrected energy   -31.776 eV/atom

Lattice parameters (Å, degrees): 2.736 6.726 6.726 90.00 90.00 90.00
Atoms (fractional coordinates):
1 Be 0.000 0.377 0.877
2 Be 0.000 0.623 0.123
3 Mg 0.000 0.000 0.000
4 Pt 0.500 0.169 0.669
5 Be 0.000 0.877 0.623
6 Pt 0.500 0.831 0.331
7 Pt 0.500 0.331 0.169
8 Be 0.000 0.123 0.377
9 Pt 0.500 0.669 0.831
10 Mg 0.000 0.500 0.500

***

Record 4
Material: Fe3Re4
Method: DFT, SCAN
State: PBEsol geometry

Results
Calculated formation energy   0.1947 eV per atom
Space-group type   P6/mmm (191)
Uncorrected energy   -48.202 eV/atom

Lattice parameters (Å, degrees): 4.620 4.620 4.773 90.00 90.00 120.00
Atoms (fractional coordinates):
1 Fe 0.500 0.500 0.000
2 Re 0.333 0.667 0.500
3 Fe 0.000 0.500 0.000
4 Fe 0.500 0.000 0.000
5 Re 0.000 0.000 0.252
6 Re 0.667 0.333 0.500
7 Re 0.000 0.000 0.748

***

Record 5
Material: Mg2CdAs
Method: DFT, SCAN
State: PBEsol geometry

Results
Relative energy among the computed polymorphs   10.46 kJ/mol of atoms
Calculated formation energy   -0.1525 eV per atom
Space-group type   Fm-3m (225)
Uncorrected energy   -15.291 eV/atom

Lattice parameters (Å, degrees): 4.875 4.875 4.875 60.00 60.00 60.00
Atoms (fractional coordinates):
1 As 0.000 0.000 0.000
2 Cd 0.500 0.500 0.500
3 Mg 0.250 0.250 0.250
4 Mg 0.750 0.750 0.750

***

Record 6
Material: Sc2Os
Method: DFT, SCAN
State: PBEsol geometry

Results
Calculated formation energy   -0.4609 eV per atom
Space-group type   P-62m (189)
Uncorrected energy   -33.912 eV/atom

Lattice parameters (Å, degrees): 3.828 7.148 7.148 120.00 90.00 90.00
Atoms (fractional coordinates):
1 Sc 0.500 0.590 0.000
2 Os 0.000 0.333 0.667
3 Sc 0.500 0.410 0.410
4 Sc 0.000 0.000 0.257
5 Os 0.500 0.000 0.000
6 Sc 0.000 0.257 0.000
7 Sc 0.000 0.743 0.743
8 Sc 0.500 0.000 0.590
9 Os 0.000 0.667 0.333